The following is a DFT calculation (GGA-PBE) of Hf2UFeC4 after structural relaxation.

Properties
- Magnetic moment: 0.000 μB per atom
- Energy of formation: -3.11 eV per formula unit
- VASP energy: -159.320 eV per cell

Unit cell a=5.778 b=5.778 c=10.909 alpha=90.00 beta=90.00 gamma=147.07
Fractional coordinates of all 16 atoms:
1 Hf 0.132 0.868 0.547
2 Hf 0.132 0.868 0.953
3 Hf 0.868 0.132 0.047
4 Hf 0.868 0.132 0.453
5 U 0.397 0.603 0.750
6 U 0.603 0.397 0.250
7 Fe 0.346 0.654 0.250
8 Fe 0.654 0.346 0.750
9 C 0.062 0.938 0.750
10 C 0.231 0.769 0.130
11 C 0.231 0.769 0.370
12 C 0.500 0.500 0.000
13 C 0.500 0.500 0.500
14 C 0.769 0.231 0.630
15 C 0.769 0.231 0.870
16 C 0.938 0.062 0.250

The following is a DFT calculation (GGA-PBE) of MnCo after structural relaxation.

Properties
- Magnetic moment: 0.494 μB per atom
- Energy of formation: 2.57 eV per formula unit
- VASP energy: -54.832 eV per cell

Unit cell a=4.945 b=4.945 c=4.945 alpha=90.00 beta=90.00 gamma=90.00
Fractional coordinates of all 8 atoms:
1 Mn 0.000 0.000 0.000
2 Mn 0.000 0.500 0.500
3 Mn 0.500 0.000 0.500
4 Mn 0.500 0.500 0.000
5 Co 0.250 0.250 0.750
6 Co 0.250 0.750 0.250
7 Co 0.750 0.250 0.250
8 Co 0.750 0.750 0.750